Mo2Au | SCAN | single point on PBEsol structure

Output
Magnetic moment = 0.00 μB per cell
DOS at the Fermi energy = 2.2 states/eV/f.u.
ΔE to the lowest computed polymorph = 0.000 eV/atom

a b c (Å): 2.6644 2.6644 6.9007
angles (deg): 101.13 101.13 90.00
With the nearest neighbours (Å) after each atom.
Atoms (fractional coordinates):
Mo 0.6664 0.6664 0.3329  8 Mo 2.66-2.91, 4 Au 2.90
Mo 0.3336 0.3336 0.6671  8 Mo 2.66-2.91, 4 Au 2.90
Au 0.0000 0.0000 0.0000  4 Au 2.66, 8 Mo 2.90